## CrAsF2 (PBE with a Hubbard U)

Data for a relaxed CrAsF2 crystal.

Properties
The value obtained for the density of states at the Fermi level is 4.0 states/eV per cell. Its symmetry is No. 122. The value obtained for the density is 4.24 g cm⁻³.

```
data_CrAsF2
_chemical_formula_sum 'Cr2 As2 F4'
_cell_length_a 6.855
_cell_length_b 6.855
_cell_length_c 5.571
_cell_angle_alpha 52.03
_cell_angle_beta 52.03
_cell_angle_gamma 90.00
_symmetry_space_group_name_H-M 'P 1'
_symmetry_Int_Tables_number 1
loop_
_symmetry_equiv_pos_as_xyz
'x,y,z'
loop_
_atom_site_label
_atom_site_type_symbol
_atom_site_fract_x
_atom_site_fract_y
_atom_site_fract_z
_atom_site_occupancy
As1 As 0.000 0.000 0.000 1
F1 F 0.498 0.125 0.250 1
F2 F 0.375 0.502 0.750 1
Cr1 Cr 0.250 0.750 0.500 1
As2 As 0.750 0.250 0.500 1
Cr2 Cr 0.500 0.500 0.000 1
F3 F 0.875 0.748 0.750 1
F4 F 0.252 0.625 0.250 1
```


## CrAs2F (PBE with a Hubbard U)

Data for a relaxed CrAs2F crystal.

Properties
The value obtained for the density of states at the Fermi level is 3.5 states/eV per cell. Its symmetry is No. 122. The value obtained for the density is 5.10 g cm⁻³.

```
data_CrAs2F
_chemical_formula_sum 'Cr2 As4 F2'
_cell_length_a 3.663
_cell_length_b 3.663
_cell_length_c 11.033
_cell_angle_alpha 80.45
_cell_angle_beta 80.45
_cell_angle_gamma 90.00
_symmetry_space_group_name_H-M 'P 1'
_symmetry_Int_Tables_number 1
loop_
_symmetry_equiv_pos_as_xyz
'x,y,z'
loop_
_atom_site_label
_atom_site_type_symbol
_atom_site_fract_x
_atom_site_fract_y
_atom_site_fract_z
_atom_site_occupancy
As1 As 0.875 0.901 0.750 1
As2 As 0.375 0.349 0.750 1
Cr1 Cr 0.000 0.000 0.000 1
Cr2 Cr 0.750 0.250 0.500 1
F1 F 0.500 0.500 0.000 1
As3 As 0.099 0.625 0.250 1
F2 F 0.250 0.750 0.500 1
As4 As 0.651 0.125 0.250 1
```


## Cr2AsF (PBE with a Hubbard U)

Data for a relaxed Cr2AsF crystal.

Properties
The value obtained for the density of states at the Fermi level is 1.2 states/eV per cell. Its symmetry is No. 225. The value obtained for the density is 5.34 g cm⁻³.

```
data_Cr2AsF
_chemical_formula_sum 'Cr2 As1 F1'
_cell_length_a 4.431
_cell_length_b 4.431
_cell_length_c 4.431
_cell_angle_alpha 60.00
_cell_angle_beta 60.00
_cell_angle_gamma 60.00
_symmetry_space_group_name_H-M 'P 1'
_symmetry_Int_Tables_number 1
loop_
_symmetry_equiv_pos_as_xyz
'x,y,z'
loop_
_atom_site_label
_atom_site_type_symbol
_atom_site_fract_x
_atom_site_fract_y
_atom_site_fract_z
_atom_site_occupancy
F1 F 0.000 0.000 0.000 1
As1 As 0.500 0.500 0.500 1
Cr1 Cr 0.250 0.250 0.250 1
Cr2 Cr 0.750 0.750 0.750 1
```


no.,E_tot (Ry per atom)
1,-0.375
2,-0.375
3,-0.439